This record from Alexandria describes CaNdTm2S4 after structural relaxation. The functional is PBE.

a = 6.842 Å, b = 3.915 Å, c = 6.844 Å
α = 90.00°, β = 109.05°, γ = 90.00°
Space group P2/m (No. 10)
One atom of each set of equivalent atoms:
Ca  0.000  0.000  0.000 x1
Nd  0.500  0.500  0.000 x1
Tm  0.000  0.500  0.500 x1
Tm  0.500  0.000  0.500 x1
S  0.239  0.000  0.733 x2
S  0.250  0.500  0.264 x2

Output
Its formation energy from raw total energies is -2000 meV per atom. The value obtained for the density of states at the Fermi level is 2.67 states/eV per cell. As for the total energy: -6.03 eV/atom.

This record from Alexandria describes Ce4YPa3P8 after structural relaxation. The functional is PBE.

a = 8.0435 Å, b = 8.0435 Å, c = 19.7766 Å
α = 90.00°, β = 90.00°, γ = 120.00°
Space group R-3m (No. 166, hexagonal axes)
One atom of each set of equivalent atoms:
Ce  0.0000  0.0000  0.0000 x3
Ce  0.0000  0.5000  0.0000 x9
Y  0.0000  0.0000  0.5000 x3
Pa  0.0000  0.5000  0.5000 x9
P  0.0000  0.0000  0.2470 x6
P  0.0027  0.5014  0.7529 x18

Output
The value obtained for the density of states at the Fermi level is 69.65 states/eV per cell. The calculated formation energy is -1.4522 eV/atom. As for the total energy: -7.83 eV/atom.

This record from Alexandria describes Pm8Os2Pt after structural relaxation. The functional is PBE.

a = 18.084 Å, b = 4.895 Å, c = 7.096 Å
α = 90.00°, β = 105.74°, γ = 90.00°
Space group C2/m (No. 12)
One atom of each set of equivalent atoms:
Pm  0.031  0.000  0.283 x4
Pm  0.099  0.500  0.966 x4
Pm  0.170  0.500  0.467 x4
Pm  0.206  0.000  0.816 x4
Os  0.186  0.000  0.207 x4
Pt  0.000  0.500  0.500 x2

Output
The value obtained for the density of states at the Fermi level is 22.20 states/eV per cell. The calculated formation energy is -0.2600 eV/atom. As for the total energy: -6.31 eV/atom.

This record from Alexandria describes YHfNp2As4 after structural relaxation. The functional is PBE.

a = 6.983 Å, b = 4.018 Å, c = 7.008 Å
α = 90.00°, β = 109.28°, γ = 90.00°
Space group P2/m (No. 10)
One atom of each set of equivalent atoms:
Y  0.000  0.000  0.000 x1
Hf  0.000  0.500  0.500 x1
Np  0.500  0.000  0.500 x1
Np  0.500  0.500  0.000 x1
As  0.238  0.000  0.738 x2
As  0.244  0.500  0.258 x2

Output
The value obtained for the density of states at the Fermi level is 21.19 states/eV per cell. The calculated formation energy is -0.9697 eV/atom. As for the total energy: -8.58 eV/atom.

Q: What is the density of states at the Fermi level in the first record?
A: 2.67 states/eV per cell

Q: Which of these has the lowest density of states at the Fermi level?
A: CaNdTm2S4

Q: Look up the density of states at the Fermi level of the first one.
A: 2.67 states/eV per cell

Q: What is the density of states at the Fermi level in the second record?
A: 69.65 states/eV per cell